Record 1
## Zr3AlC (PBE)

Data for an optimized crystal structure of Zr3AlC.

abc: 3.409 11.710 9.179
angles: 90.00 90.00 90.00
Space group Cmcm (No. 63)
Inequivalent atoms, fractional coordinates:
Zr 0.000 0.044 0.250
Zr 0.000 0.372 0.042
Al 0.000 0.252 0.750
C 0.000 0.000 0.000

Record 2
## CeSmMgPa (PBE)

Data for an optimized crystal structure of CeSmMgPa.

abc: 7.625 7.625 7.625
angles: 90.00 90.00 90.00
Space group F-43m (No. 216)
Inequivalent atoms, fractional coordinates:
Ce 0.000 0.000 0.000
Sm 0.000 0.000 0.500
Mg 0.250 0.250 0.250
Pa 0.250 0.250 0.750

Record 3
## CrSn2Ge2 (PBE)

Data for an optimized crystal structure of CrSn2Ge2.

abc: 6.653 6.653 4.883
angles: 90.00 90.00 90.00
Space group P4/mbm (No. 127)
Inequivalent atoms, fractional coordinates:
Cr 0.000 0.000 0.000
Sn 0.183 0.317 0.500
Ge 0.137 0.637 0.000

Record 4
## CrGaAs3 (PBE)

Data for an optimized crystal structure of CrGaAs3.

abc: 4.829 4.829 4.829
angles: 90.00 90.00 90.00
Space group Pm-3m (No. 221)
Inequivalent atoms, fractional coordinates:
Cr 0.000 0.000 0.000
Ga 0.500 0.500 0.500
As 0.000 0.500 0.500

Record 5
## LiZnCr2 (PBE)

Data for an optimized crystal structure of LiZnCr2.

abc: 2.401 4.299 4.722
angles: 90.00 90.00 90.00
Space group Pmmm (No. 47)
Inequivalent atoms, fractional coordinates:
Li 0.000 0.000 0.000
Zn 0.000 0.000 0.500
Cr 0.500 0.500 0.243

Record 6
## Pm3Sm6Dy (PBE)

Data for an optimized crystal structure of Pm3Sm6Dy.

abc: 10.973 19.211 6.454
angles: 90.00 90.00 90.00
Space group Cmc2_1 (No. 36)
Inequivalent atoms, fractional coordinates:
Pm 0.000 0.114 0.000
Pm 0.175 0.384 0.384
Sm 0.000 0.224 0.572
Sm 0.000 0.464 0.785
Sm 0.170 0.043 0.477
Sm 0.235 0.209 0.290
Dy 0.000 0.307 0.040

Number 1: energy of formation -0.59 eV/atom, raw total energy -8.31 eV per atom, volume 18.32 A^3/atom. Number 2: energy of formation 0.32 eV/atom, raw total energy -5.12 eV per atom, volume 27.71 A^3/atom. Number 3: energy of formation 0.24 eV/atom, raw total energy -5.13 eV per atom, volume 21.61 A^3/atom. Number 4: energy of formation 1.31 eV/atom, raw total energy -4.01 eV per atom, volume 22.52 A^3/atom. Number 5: energy of formation 0.33 eV/atom, raw total energy -5.28 eV per atom, volume 12.18 A^3/atom. Number 6: energy of formation 0.14 eV/atom, raw total energy -4.58 eV per atom, volume 34.01 A^3/atom.